(1)
Entry from Alexandria: a relaxed CoSiOs3 crystal (PBE).

Unit cell a=4.3245 b=4.3245 c=4.3245 alpha=90.00 beta=90.00 gamma=90.00
With the nearest neighbours (Å) after each atom.
Space group Pm-3m (No. 221)
Symmetry-distinct sites (fractional):
Co  0.0000  0.0000  0.0000  12 Os 3.06
Si  0.5000  0.5000  0.5000  6 Os 2.16
Os  0.0000  0.5000  0.5000  2 Si 2.16

ρ: 13.50 Mg/m³
Formation energy without anion corrections: 1505 meV per atom
Crystal system: cubic
M_tot: 0.00 Bohr magnetons per cell

=====

(2)
Entry from Alexandria: a relaxed Co2SiOs crystal (PBE).

Unit cell a=2.7787 b=4.1185 c=8.2745 alpha=90.00 beta=90.00 gamma=90.00
With the nearest neighbours (Å) after each atom.
Space group Immm (No. 71)
Symmetry-distinct sites (fractional):
Co  0.0000  0.0000  0.2288  2 Si 2.35, 4 Co 2.51
Si  0.0000  0.5000  0.5000  4 Co 2.35, 4 Os 2.48
Os  0.0000  0.5000  0.0000  4 Si 2.48, 4 Co 2.64, 2 Os 2.78

ρ: 11.79 Mg/m³
Formation energy without anion corrections: -139 meV per atom
Crystal system: orthorhombic
M_tot: 4.92 Bohr magnetons per cell

=====

(3)
Entry from Alexandria: a relaxed Co2SiOs crystal (PBE).

Unit cell a=2.6284 b=3.6861 c=4.9565 alpha=90.00 beta=100.36 gamma=90.00
With the nearest neighbours (Å) after each atom.
Space group P2/m (No. 10)
Symmetry-distinct sites (fractional):
Co  0.0890  0.0000  0.2574  2 Si 2.35, 4 Co 2.51-2.63, 4 Os 2.59
Si  0.5000  0.5000  0.5000  4 Co 2.35, 2 Os 2.48, 2 Si 2.63
Os  0.5000  0.5000  0.0000  2 Si 2.48, 8 Co 2.59, 2 Os 2.63

ρ: 11.82 Mg/m³
Formation energy without anion corrections: -95 meV per atom
Crystal system: monoclinic
M_tot: 0.00 Bohr magnetons per cell

=====

(4)
Entry from Alexandria: a relaxed CoSiOs crystal (PBE).

Unit cell a=2.7156 b=2.7156 c=5.8576 alpha=90.00 beta=90.00 gamma=120.00
With the nearest neighbours (Å) after each atom.
Space group P3m1 (No. 156)
Symmetry-distinct sites (fractional):
Co  0.0000  0.0000  0.0000  3 Si 2.35
Si  0.3333  0.6667  0.7020  3 Co 2.35, 3 Os 2.53
Os  0.6667  0.3333  0.3623  3 Si 2.53, 3 Co 2.64, 6 Os 2.72

ρ: 12.31 Mg/m³
Formation energy without anion corrections: -75 meV per atom
Crystal system: trigonal
M_tot: 0.43 Bohr magnetons per cell

=====

(5)
Entry from Alexandria: a relaxed Co2SiOs crystal (PBE).

Unit cell a=8.3110 b=2.6180 c=4.4616 alpha=90.00 beta=103.35 gamma=90.00
With the nearest neighbours (Å) after each atom.
Space group Cm (No. 8)
Symmetry-distinct sites (fractional):
Co  0.0000  0.0000  0.0000  3 Si 2.35-2.56, 5 Co 2.51-2.62, 2 Os 2.53
Co  0.2367  0.0000  0.7376  4 Si 2.44-2.73, 3 Os 2.47-2.52, 5 Co 2.51-2.62
Si  0.2351  0.5000  0.1990  5 Co 2.35-2.56, 2 Os 2.54, 2 Si 2.62
Os  0.4795  0.0000  0.5067  7 Co 2.47-2.65, 2 Si 2.54, 2 Os 2.62

ρ: 11.82 Mg/m³
Formation energy without anion corrections: -116 meV per atom
Crystal system: monoclinic
M_tot: 0.00 Bohr magnetons per cell

=====

(6)
Entry from Alexandria: a relaxed CoSiOs crystal (PBE).

Unit cell a=5.4902 b=5.4902 c=5.4902 alpha=90.00 beta=90.00 gamma=90.00
With the nearest neighbours (Å) after each atom.
Space group F-43m (No. 216)
Symmetry-distinct sites (fractional):
Co  0.0000  0.0000  0.0000  4 Si 2.38
Si  0.2500  0.2500  0.7500  4 Co 2.38, 4 Os 2.38
Os  0.0000  0.0000  0.5000  4 Si 2.38

ρ: 11.13 Mg/m³
Formation energy without anion corrections: -30 meV per atom
Crystal system: cubic
M_tot: 2.99 Bohr magnetons per cell

=====

(7)
Entry from Alexandria: a relaxed Co2SiOs2 crystal (PBE).

Unit cell a=5.6316 b=5.6316 c=3.9628 alpha=90.00 beta=90.00 gamma=90.00
With the nearest neighbours (Å) after each atom.
Space group P4/mbm (No. 127)
Symmetry-distinct sites (fractional):
Co  0.1394  0.3606  0.0000  2 Si 2.18, 1 Co 2.22
Si  0.0000  0.0000  0.0000  4 Co 2.18
Os  0.1632  0.6632  0.5000  6 Co 2.53-2.62, 1 Os 2.60

ρ: 13.91 Mg/m³
Formation energy without anion corrections: 123 meV per atom
Crystal system: tetragonal
M_tot: 2.05 Bohr magnetons per cell

=====

(8)
Entry from Alexandria: a relaxed Co2SiOs crystal (PBE).

Unit cell a=2.6749 b=2.6749 c=6.4643 alpha=90.00 beta=90.00 gamma=90.00
With the nearest neighbours (Å) after each atom.
Space group P4/mmm (No. 123)
Symmetry-distinct sites (fractional):
Co  0.0000  0.0000  0.2168  4 Si 2.35, 4 Os 2.63
Si  0.5000  0.5000  0.0000  8 Co 2.35
Os  0.5000  0.5000  0.5000  8 Co 2.63, 4 Os 2.67

ρ: 12.07 Mg/m³
Formation energy without anion corrections: -154 meV per atom
Crystal system: tetragonal
M_tot: 1.70 Bohr magnetons per cell